Here is a PBEsol-optimized structure of FeSi2Ru from Alexandria via LeMat-Bulk. Energies are from SCAN.

Properties
M_tot, μB/f.u.: 0.0
Volume, Å³/atom: 11.84
Fermi-level density of states, states/eV/atom: 0.581
Energy relative to the elements, uncorrected, meV per atom: -261
Calculated density, kg/m3: 7472
Calculated total energy, eV/cell: -74.0
Space-group type: C2/m (12)

abc: 4.011 4.011 4.699
angles: 101.09 101.09 39.79
Element x y z (fractional)
Fe 0.000 0.000 0.000
Si 0.255 0.255 0.773
Si 0.745 0.745 0.227
Ru 0.500 0.500 0.500

---

Here is a PBEsol-optimized structure of BaGaN from Alexandria via LeMat-Bulk. Energies are from SCAN.

Properties
M_tot, μB/f.u.: 0.0
Volume, Å³/atom: 22.91
Fermi-level density of states, states/eV/atom: 0.351
Energy relative to the elements, uncorrected, meV per atom: -611
Calculated density, kg/m3: 5341
Calculated total energy, eV/cell: -134.0
Space-group type: C2/m (12)

abc: 4.385 4.385 8.632
angles: 101.72 101.72 58.40
Element x y z (fractional)
Ba 0.082 0.082 0.305
Ba 0.918 0.918 0.695
Ga 0.336 0.336 0.001
Ga 0.664 0.664 0.999
N 0.420 0.420 0.463
N 0.580 0.580 0.537

---

Here is a PBEsol-optimized structure of Ti3SnO from Alexandria via LeMat-Bulk. Energies are from SCAN.

Properties
M_tot, μB/f.u.: 2.8
Volume, Å³/atom: 14.40
Fermi-level density of states, states/eV/atom: 0.750
Energy relative to the elements, uncorrected, meV per atom: -1305
Calculated density, kg/m3: 6420
Calculated total energy, eV/cell: -96.8
Space-group type: Pm-3m (221)

abc: 4.160 4.160 4.160
angles: 90.00 90.00 90.00
Element x y z (fractional)
Ti 0.000 0.000 0.500
Ti 0.000 0.500 0.000
Ti 0.500 0.000 0.000
Sn 0.500 0.500 0.500
O 0.000 0.000 0.000

---

Here is a PBEsol-optimized structure of Cd3Rh from Alexandria via LeMat-Bulk. Energies are from SCAN.

Properties
M_tot, μB/f.u.: 0.0
Volume, Å³/atom: 17.55
Fermi-level density of states, states/eV/atom: 0.403
Calculated density, kg/m3: 10412
Calculated total energy, eV/cell: -251.0
Space-group type: Pmmn (59)
Energy of formation from the pure elements, eV/atom: -0.12

abc: 4.674 5.779 5.198
angles: 90.00 90.00 90.00
Element x y z (fractional)
Cd 0.250 0.002 0.164
Cd 0.250 0.498 0.164
Cd 0.250 0.750 0.639
Cd 0.750 0.250 0.361
Cd 0.750 0.502 0.836
Cd 0.750 0.998 0.836
Rh 0.250 0.250 0.672
Rh 0.750 0.750 0.328